Pm2Cu4Pt5 after structural relaxation. Source: Alexandria via LeMat-Bulk, functional PBE.

CIF file:
```
data_Pm2Cu4Pt5
_symmetry_space_group_name_H-M 'F m m m'
_symmetry_Int_Tables_number 69
_symmetry_space_group_name_Hall '-F 2 2'
_cell_length_a 5.494
_cell_length_b 9.089
_cell_length_c 16.040
_cell_angle_alpha 90.00
_cell_angle_beta 90.00
_cell_angle_gamma 90.00
loop_
_atom_site_label
_atom_site_type_symbol
_atom_site_fract_x
_atom_site_fract_y
_atom_site_fract_z
Pm1 Pm 0.000 0.000 0.130
Cu1 Cu 0.000 0.155 0.370
Pt1 Pt 0.000 0.000 0.500
Pt2 Pt 0.250 0.250 0.000
Pt3 Pt 0.250 0.250 0.250
```

Properties
N(E_F): 22.3 states/eV per cell
energy: -5.66 eV/atom
energy of formation from the pure elements: -0.559 eV per atom